GaAuOF2 PBE optimized geometry; energy relative to the elements, uncorrected = -1.24 eV/atom; magnetic moment = 0.000 μB per atom; space group = P4/mmm (123); excess energy over the best structure of this formula in the dataset = 0.000 kcal/mol of atoms
1.0
-1.612 -3.438 -1.484
3.326 -2.057 1.152
-1.577 -0.692 3.316
F Au Ga O
2 1 1 1
Direct
0.000 0.500 0.000
0.500 0.000 0.000
0.500 0.500 0.500
0.000 0.000 0.000
0.000 0.000 0.500